Computed, not measured: HoZn6Pd6 after structural relaxation at the PBE-GGA level of DFT.

Cell lengths 5.2042, 6.7653, 6.7653 Å; angles 81.28, 67.38, 67.38 degrees
Fractional positions:
Zn 0.5000 0.0000 0.5000
Zn 0.5000 0.5000 0.0000
Zn 0.5000 0.2417 0.7583
Pd 0.3199 0.1801 0.1801
Pd 0.6801 0.8199 0.8199
Pd 0.6609 0.3391 0.3391
Ho 0.0000 0.0000 0.0000
Pd 0.0000 0.6567 0.3433
Pd 0.3391 0.6609 0.6609
Pd 0.0000 0.3433 0.6567
Zn 0.5000 0.7583 0.2417
Zn 0.0000 0.0000 0.5000
Zn 0.0000 0.5000 0.0000

Values from the calculation:
Its density of states at the Fermi level is 0.375 states/eV per atom. Its uncorrected energy is -3.889 eV/atom.